1.
Below is BaAgP after structural relaxation, with properties calculated at the PBE level.

```
data_BaAgP
_chemical_formula_sum 'Ba2 Ag2 P2'
_symmetry_space_group_name_H-M 'P 1'
_symmetry_Int_Tables_number 1
_symmetry_space_group_name_Hall 'P 1'
_cell_length_a 4.528
_cell_length_b 4.528
_cell_length_c 8.426
_cell_angle_alpha 74.43
_cell_angle_beta 74.42
_cell_angle_gamma 90.00
loop_
_atom_site_label
_atom_site_fract_x
_atom_site_fract_y
_atom_site_fract_z
Ba1 0.000 0.000 0.000
Ba2 0.250 0.750 0.500
Ag1 0.584 0.584 0.831
Ag2 0.834 0.335 0.331
P1 0.417 0.418 0.166
P2 0.667 0.167 0.666
```

Computed properties:
The calculation puts the total moment at 0.0 μB per cell. For the raw total energy, the calculation gives -4.084 eV/atom. The formation energy comes out at -690 meV/atom.

=====

2.
Below is La2PbC after structural relaxation, with properties calculated at the PBE level.

```
data_La2PbC
_chemical_formula_sum 'La6 Pb3 C3'
_symmetry_space_group_name_H-M 'R -3 m'
_symmetry_Int_Tables_number 166
_symmetry_space_group_name_Hall '-R 3 2"'
_cell_length_a 3.7014
_cell_length_b 3.7014
_cell_length_c 29.4126
_cell_angle_alpha 90.00
_cell_angle_beta 90.00
_cell_angle_gamma 120.00
loop_
_atom_site_label
_atom_site_fract_x
_atom_site_fract_y
_atom_site_fract_z
La1 0.0000 0.0000 0.1172
Pb1 0.0000 0.0000 0.0000
C1 0.0000 0.0000 0.5000
```

Computed properties:
The calculation puts the total moment at 0.0 μB per cell. For the raw total energy, the calculation gives -5.801 eV/atom. The formation energy comes out at -104 meV/atom.